The following is a PBE calculation of a relaxed structure of YMnSe4, from Alexandria via LeMat-Bulk.

Output
SG: F-43m, No. 216
Energy relative to the elements, uncorrected: 0.21 eV per atom

Lattice parameters (Å, degrees): 5.771 5.771 5.771 60.00 60.00 60.00
Site moments in Bohr magnetons follow the coordinates.
Atoms (fractional coordinates):
Y 0.750 0.750 0.750  -0.08
Mn 0.000 0.000 0.000  4.27
Se 0.876 0.375 0.375  0.05
Se 0.375 0.375 0.876  0.05
Se 0.375 0.876 0.375  0.05
Se 0.375 0.375 0.375  0.05


The following is a PBE calculation of a relaxed structure of TiH2Ru, from Alexandria via LeMat-Bulk.

Output
SG: R3m, No. 160
Relative energy among the computed polymorphs: 77 kJ/mol of formula units

Lattice parameters (Å, degrees): 2.922 2.922 5.124 73.43 73.43 60.00
Atoms (fractional coordinates):
Ti 0.502 0.502 0.494
H 0.076 0.076 0.773
H 0.234 0.234 0.297
Ru 0.688 0.688 0.936


| no. | magnetic moment (μB/atom) | total DFT energy (no corrections) (eV/atom) |
| --- | --- | --- |
| 1 | 0.802 | -4.71 |
| 2 | 0.000 | -6.03 |